Here is HfV2W after structural relaxation from the Alexandria database. Energies are from PBE.

Computed properties:
Magnetic moment ... 0.01 μB/cell
Total energy ... -10.23 eV per atom
V ... 64.9 Å³ per cell
Calculated formation energy ... 0.0569 eV per atom
Distance to the lowest polymorph of the same formula ... 0.0 meV/atom

Cell lengths 3.1407, 3.1407, 6.5747 Å; angles 90.00, 90.00, 90.00 degrees
Last column: nearest neighbours and their distance in Å.
Fractional coordinates of all 4 atoms:
Hf: 0.0000 0.0000 0.0000  8 V 2.88, 4 Hf 3.14
V: 0.5000 0.5000 0.2783  4 W 2.66, 4 Hf 2.88, 1 V 2.92
V: 0.5000 0.5000 0.7217  4 W 2.66, 4 Hf 2.88, 1 V 2.92
W: 0.0000 0.0000 0.5000  8 V 2.66

=====

Here is HfV2W after structural relaxation from the Alexandria database. Energies are from PBE.

Computed properties:
Magnetic moment ... 0.00 μB/cell
Total energy ... -10.20 eV per atom
V ... 63.9 Å³ per cell
Calculated formation energy ... 0.0857 eV per atom
Distance to the lowest polymorph of the same formula ... 28.8 meV/atom

Cell lengths 4.4882, 4.4882, 4.4882 Å; angles 60.00, 60.00, 60.00 degrees
Last column: nearest neighbours and their distance in Å.
Fractional coordinates of all 4 atoms:
Hf: 0.0000 0.0000 0.0000  8 V 2.75
V: 0.2500 0.2500 0.2500  4 Hf 2.75, 4 W 2.75
V: 0.7500 0.7500 0.7500  4 Hf 2.75, 4 W 2.75
W: 0.5000 0.5000 0.5000  8 V 2.75

=====

Here is HfVW3 after structural relaxation from the Alexandria database. Energies are from PBE.

Computed properties:
Magnetic moment ... 3.20 μB/cell
Total energy ... -9.04 eV per atom
V ... 109.0 Å³ per cell
Calculated formation energy ... 2.5457 eV per atom
Distance to the lowest polymorph of the same formula ... 1302.7 meV/atom

Cell lengths 4.7772, 4.7772, 4.7772 Å; angles 90.00, 90.00, 90.00 degrees
Last column: nearest neighbours and their distance in Å.
Fractional coordinates of all 5 atoms:
Hf: 0.0000 0.0000 0.0000  6 W 2.39
V: 0.5000 0.5000 0.5000  12 W 3.38
W: 0.0000 0.0000 0.5000  2 Hf 2.39
W: 0.0000 0.5000 0.0000  2 Hf 2.39
W: 0.5000 0.0000 0.0000  2 Hf 2.39

=====

Here is Hf2VW after structural relaxation from the Alexandria database. Energies are from PBE.

Computed properties:
Magnetic moment ... 0.98 μB/cell
Total energy ... -9.87 eV per atom
V ... 75.9 Å³ per cell
Calculated formation energy ... 0.6225 eV per atom
Distance to the lowest polymorph of the same formula ... 504.2 meV/atom

Cell lengths 10.8482, 10.8482, 10.8482 Å; angles 15.15, 15.15, 15.15 degrees
Last column: nearest neighbours and their distance in Å.
Fractional coordinates of all 4 atoms:
Hf: 0.0854 0.0854 0.0854  1 V 2.75, 6 Hf 2.86
Hf: 0.9146 0.9146 0.9146  1 V 2.75, 6 Hf 2.86
V: 0.0000 0.0000 0.0000  2 Hf 2.75, 6 V 2.86
W: 0.5000 0.5000 0.5000  6 W 2.86, 6 Hf 3.09

=====

Here is Hf2VW after structural relaxation from the Alexandria database. Energies are from PBE.

Computed properties:
Magnetic moment ... 2.78 μB/cell
Total energy ... -10.38 eV per atom
V ... 74.2 Å³ per cell
Calculated formation energy ... 0.1183 eV per atom
Distance to the lowest polymorph of the same formula ... 0.0 meV/atom

Cell lengths 4.7174, 4.7174, 4.7174 Å; angles 60.00, 60.00, 60.00 degrees
Last column: nearest neighbours and their distance in Å.
Fractional coordinates of all 4 atoms:
Hf: 0.2500 0.2500 0.2500  4 W 2.89, 4 V 2.89
Hf: 0.7500 0.7500 0.7500  4 W 2.89, 4 V 2.89
V: 0.0000 0.0000 0.0000  8 Hf 2.89
W: 0.5000 0.5000 0.5000  8 Hf 2.89

=====

Here is HfVW after structural relaxation from the Alexandria database. Energies are from PBE.

Computed properties:
Magnetic moment ... 0.00 μB/cell
Total energy ... -10.79 eV per atom
V ... 104.0 Å³ per cell
Calculated formation energy ... -0.1196 eV per atom
Distance to the lowest polymorph of the same formula ... 0.0 meV/atom

Cell lengths 5.2720, 5.2720, 5.2720 Å; angles 119.99, 119.57, 90.38 degrees
Last column: nearest neighbours and their distance in Å.
Fractional coordinates of all 6 atoms:
Hf: 0.3743 0.1243 0.2500  6 V 3.08-3.11, 6 W 3.09, 4 Hf 3.23
Hf: 0.6257 0.8757 0.7500  6 V 3.08-3.11, 6 W 3.09, 4 Hf 3.23
V: 0.0000 0.0000 0.5000  4 W 2.64, 2 V 2.64
V: 0.0000 0.5000 0.0000  4 W 2.64, 2 V 2.64
W: 0.0000 0.5000 0.5000  4 V 2.64, 2 W 2.65
W: 0.5000 0.5000 0.0000  4 V 2.64, 2 W 2.65

=====

Here is HfV8W3 after structural relaxation from the Alexandria database. Energies are from PBE.

Computed properties:
Magnetic moment ... 0.00 μB/cell
Total energy ... -10.19 eV per atom
V ... 177.1 Å³ per cell
Calculated formation energy ... -0.0435 eV per atom

Cell lengths 5.0267, 5.0267, 8.0916 Å; angles 90.00, 90.00, 120.00 degrees
Last column: nearest neighbours and their distance in Å.
Fractional coordinates of all 12 atoms:
Hf: 0.0000 0.0000 0.0000  12 V 2.94-2.96, 4 W 3.08
V: 0.1641 0.3283 0.6826  6 V 2.46-2.55
V: 0.1641 0.8359 0.6826  6 V 2.46-2.55
V: 0.3333 0.6667 0.4389  6 V 2.46-2.48
V: 0.3333 0.6667 0.9377  6 V 2.54
V: 0.5029 0.0059 0.1932  6 V 2.47-2.56
V: 0.5029 0.4971 0.1932  6 V 2.47-2.56
V: 0.6717 0.8359 0.6826  6 V 2.46-2.55
V: 0.9941 0.4971 0.1932  6 V 2.47-2.56
W: 0.0000 0.0000 0.3810  12 V 2.83-2.94, 3 W 3.06, 1 Hf 3.08
W: 0.6667 0.3333 0.4992  12 V 2.86-2.94, 4 W 3.03-3.06
W: 0.6667 0.3333 0.8731  12 V 2.95-2.96, 1 W 3.03, 3 Hf 3.08

=====

Here is Hf2V15W2 after structural relaxation from the Alexandria database. Energies are from PBE.

Computed properties:
Magnetic moment ... 0.00 μB/cell
Total energy ... -9.53 eV per atom
V ... 286.7 Å³ per cell
Calculated formation energy ... 0.0828 eV per atom

Cell lengths 6.6286, 6.6286, 6.6286 Å; angles 83.95, 83.95, 83.95 degrees
Last column: nearest neighbours and their distance in Å.
Fractional coordinates of all 19 atoms:
Hf: 0.1667 0.1667 0.1667  1 W 2.93, 12 V 3.10-3.23
Hf: 0.8333 0.8333 0.8333  1 W 2.93, 12 V 3.10-3.23
V: 0.0000 0.5000 0.5000  8 V 2.51-2.61, 2 W 2.69
V: 0.1418 0.1418 0.6582  8 V 2.52-2.72
V: 0.1418 0.6582 0.1418  8 V 2.52-2.72
V: 0.1977 0.5000 0.8023  8 V 2.51-2.72
V: 0.1977 0.8023 0.5000  8 V 2.51-2.72
V: 0.3418 0.8582 0.8582  8 V 2.52-2.72
V: 0.5000 0.0000 0.5000  8 V 2.51-2.61, 2 W 2.69
V: 0.5000 0.1977 0.8023  8 V 2.51-2.72
V: 0.5000 0.5000 0.0000  8 V 2.51-2.61, 2 W 2.69
V: 0.5000 0.8023 0.1977  8 V 2.51-2.72
V: 0.6582 0.1418 0.1418  8 V 2.52-2.72
V: 0.8023 0.1977 0.5000  8 V 2.51-2.72
V: 0.8023 0.5000 0.1977  8 V 2.51-2.72
V: 0.8582 0.3418 0.8582  8 V 2.52-2.72
V: 0.8582 0.8582 0.3418  8 V 2.52-2.72
W: 0.3989 0.3989 0.3989  1 W 2.55, 6 V 2.69-2.85
W: 0.6011 0.6011 0.6011  1 W 2.55, 6 V 2.69-2.85

=====

Here is HfVW after structural relaxation from the Alexandria database. Energies are from PBE.

Computed properties:
Magnetic moment ... 0.00 μB/cell
Total energy ... -10.63 eV per atom
V ... 51.2 Å³ per cell
Calculated formation energy ... 0.0436 eV per atom
Distance to the lowest polymorph of the same formula ... 163.2 meV/atom

Cell lengths 5.4579, 5.4579, 5.4579 Å; angles 145.77, 145.77, 49.19 degrees
Last column: nearest neighbours and their distance in Å.
Fractional coordinates of all 3 atoms:
Hf: 0.0000 0.0000 0.0000  5 W 2.91-3.14, 5 V 2.92-3.12, 4 Hf 3.21
V: 0.6853 0.6853 0.0000  4 W 2.62, 4 Hf 2.92
W: 0.3166 0.3166 0.0000  4 V 2.62, 4 Hf 2.91

=====

Here is Hf2V3W after structural relaxation from the Alexandria database. Energies are from PBE.

Computed properties:
Magnetic moment ... 0.00 μB/cell
Total energy ... -10.09 eV per atom
V ... 101.0 Å³ per cell
Calculated formation energy ... -0.0558 eV per atom

Cell lengths 5.1753, 5.1753, 5.1749 Å; angles 118.71, 118.71, 61.46 degrees
Last column: nearest neighbours and their distance in Å.
Fractional coordinates of all 6 atoms:
Hf: 0.1254 0.1254 0.3746  9 V 3.02-3.08, 3 W 3.09, 4 Hf 3.15-3.22
Hf: 0.8746 0.8746 0.6254  9 V 3.02-3.08, 3 W 3.09, 4 Hf 3.15-3.22
V: 0.0000 0.5000 0.0000  2 W 2.59, 4 V 2.64
V: 0.5000 0.0000 0.0000  2 W 2.59, 4 V 2.64
V: 0.5000 0.5000 0.5000  2 W 2.59, 4 V 2.64
W: 0.5000 0.5000 0.0000  6 V 2.59